Record 1
# Pm2AlCu3Ni12, optimized geometry, DFT PBE-GGA
# Final energy   -5.107 eV per atom
data_Pm2AlCu3Ni12
_cell_length_a 5.9565
_cell_length_b 5.9565
_cell_length_c 25.8948
_cell_angle_alpha 90.00
_cell_angle_beta 90.00
_cell_angle_gamma 120.00
_space_group_name_H-M_alt 'R -3 m'
_space_group_IT_number 166
_space_group_name_Hall '-R 3 2"'
loop_
_atom_site_label
_atom_site_type_symbol
_atom_site_fract_x
_atom_site_fract_y
_atom_site_fract_z
Pm1 Pm 0.0000 0.0000 0.1514
Al1 Al 0.0000 0.0000 0.5000
Cu1 Cu 0.0000 0.5000 0.0000
Ni1 Ni 0.0543 0.5271 0.0951
Ni2 Ni 0.0730 0.5365 0.6157


Record 2
# BaPrMg2, optimized geometry, DFT PBE-GGA
# Final energy   -2.534 eV per atom
data_BaPrMg2
_cell_length_a 4.091
_cell_length_b 4.091
_cell_length_c 8.388
_cell_angle_alpha 90.00
_cell_angle_beta 90.00
_cell_angle_gamma 90.00
_space_group_name_H-M_alt 'P 4/m m m'
_space_group_IT_number 123
_space_group_name_Hall '-P 4 2'
loop_
_atom_site_label
_atom_site_type_symbol
_atom_site_fract_x
_atom_site_fract_y
_atom_site_fract_z
Ba1 Ba 0.000 0.000 0.000
Pr1 Pr 0.000 0.000 0.500
Mg1 Mg 0.500 0.500 0.289


Record 3
# Te2AsPI, optimized geometry, DFT PBE-GGA
# ΔE_f (raw)   923 meV per atom
# Offset from the most stable computed form   220 meV per atom
data_Te2AsPI
_cell_length_a 5.529
_cell_length_b 5.529
_cell_length_c 5.478
_cell_angle_alpha 90.00
_cell_angle_beta 90.00
_cell_angle_gamma 90.00
_space_group_name_H-M_alt 'P 4/m m m'
_space_group_IT_number 123
_space_group_name_Hall '-P 4 2'
loop_
_atom_site_label
_atom_site_type_symbol
_atom_site_fract_x
_atom_site_fract_y
_atom_site_fract_z
Te1 Te 0.000 0.500 0.000
As1 As 0.000 0.000 0.000
P1 P 0.500 0.500 0.500
I1 I 0.000 0.000 0.500


no.,total moment (Bohr magnetons per cell)
1,0.00
2,0.00
3,1.14